WO2 | PBE+U | optimized geometry

a = 6.784 Å, b = 6.784 Å, c = 6.784 Å
α = 50.84°, β = 50.84°, γ = 50.84°
Sites, in units of the cell vectors:
W1 0.143 0.610 0.610
W2 0.254 0.254 0.254
W3 0.610 0.143 0.610
W4 0.610 0.610 0.143
O1 0.365 0.365 0.365
O2 0.852 0.852 0.852
O3 0.892 0.411 0.892
O4 0.367 0.858 0.367
O5 0.367 0.367 0.858
O6 0.411 0.892 0.892
O7 0.892 0.892 0.411
O8 0.858 0.367 0.367

Computed properties:
Uncorrected energy ... -0.2651 hartree per atom